(1)
A plane-wave DFT calculation with PBE was carried out for a relaxed structure of Tm2Ge3Pd2.

```
Tm2Ge3Pd2
1.0
-1.553 1.528 3.552
-0.479 -6.503 2.589
9.196 -0.042 1.595
Ge Tm Pd
6 4 4
direct
0.437 0.566 0.874 Ge
0.437 0.934 0.874 Ge
0.563 0.434 0.126 Ge
0.223 0.750 0.445 Ge
0.777 0.250 0.555 Ge
0.563 0.066 0.126 Ge
0.156 0.250 0.311 Tm
0.947 0.250 0.893 Tm
0.844 0.750 0.689 Tm
0.053 0.750 0.107 Tm
0.694 0.548 0.388 Pd
0.306 0.048 0.612 Pd
0.306 0.452 0.612 Pd
0.694 0.952 0.388 Pd
```

energy above the most stable polymorph in this dataset = 0 meV per atom
calculated formation energy = -822 meV per atom
calculated density = 9.598 g cm⁻³


(2)
A plane-wave DFT calculation with PBE was carried out for a relaxed structure of Tm2Ge3Pd2.

```
Tm2Ge3Pd2
1.0
4.247 0.000 0.000
-2.124 5.122 -0.105
0.000 -2.487 6.159
Ge Pd Tm
3 2 2
direct
0.608 0.216 0.446 Ge
0.392 0.784 0.554 Ge
0.500 0.000 0.000 Ge
0.854 0.708 0.765 Pd
0.146 0.292 0.235 Pd
0.149 0.298 0.782 Tm
0.851 0.702 0.218 Tm
```

energy above the most stable polymorph in this dataset = 112 meV per atom
calculated formation energy = -710 meV per atom
calculated density = 9.606 g cm⁻³


(3)
A plane-wave DFT calculation with PBE was carried out for a relaxed structure of Tm7Ge2Pd2.

```
Tm7Ge2Pd2
1.0
6.641 -0.003 -0.479
0.003 6.846 0.003
-0.892 -0.003 6.598
Tm Ge Pd
7 2 2
direct
0.500 0.252 0.500 Tm
0.000 0.739 0.500 Tm
0.500 0.748 0.500 Tm
0.000 0.000 0.000 Tm
0.500 0.739 0.000 Tm
0.500 0.261 0.000 Tm
0.000 0.261 0.500 Tm
0.791 0.500 0.791 Ge
0.209 0.500 0.209 Ge
0.719 0.000 0.281 Pd
0.281 0.000 0.719 Pd
```

calculated formation energy = -412 meV per atom
calculated density = 8.614 g cm⁻³


(4)
A plane-wave DFT calculation with PBE was carried out for a relaxed structure of YTmGePd.

```
YTmGePd
1.0
-2.206 -2.082 -2.394
3.269 -2.763 -0.610
-0.623 -1.921 5.365
Pd Tm Y Ge
1 1 1 1
direct
0.421 0.000 0.842 Pd
0.138 0.000 0.276 Tm
0.859 0.500 0.717 Y
0.583 0.500 0.165 Ge
```

energy above the most stable polymorph in this dataset = 0 meV per atom
calculated formation energy = -900 meV per atom
calculated density = 8.044 g cm⁻³